This record from Alexandria via LeMat-Bulk describes a relaxed K2TlTcCl8 crystal. The functional is PBE.

The space group is P2/m (No. 10) and the conventional cell measures 6.5546, 8.5894 and 6.9072 Å, with angles of 90.00, 92.89 and 90.00 degrees. Symmetry generates all atoms from K at (0.0000, 0.2374, 0.0000), Tl at (0.5000, 0.5000, 0.5000), Tc at (0.5000, 0.0000, 0.5000), Cl at (0.2552, 0.5000, 0.1761), Cl at (0.2860, 0.1994, 0.6154) and Cl at (0.3105, 0.0000, 0.1990).

The density of states at the Fermi level comes out at 1.336 states/eV/cell. The calculation puts the total energy at -43.10 eV for the cell shown.